{
  "formula": "Ca4MnF10",
  "functional": "PBE with a Hubbard U",
  "state": "optimized geometry",
  "density_g_cm3": 3.3,
  "final_energy_ev_per_atom": -5.958,
  "lattice_angstrom": [[1.933, 1.116, 15.718], [-1.933, 1.116, 15.718], [0.000, -2.232, 15.718]],
  "species": ["Ca", "Ca", "Ca", "Ca", "Mn", "F", "F", "F", "F", "F", "F", "F", "F", "F", "F"],
  "frac_coords": [[0.102, 0.102, 0.102], [0.299, 0.299, 0.299], [0.701, 0.701, 0.701], [0.898, 0.898, 0.898], [0.500, 0.500, 0.500], [0.051, 0.051, 0.051], [0.152, 0.152, 0.152], [0.248, 0.248, 0.248], [0.350, 0.350, 0.350], [0.453, 0.453, 0.453], [0.547, 0.547, 0.547], [0.650, 0.650, 0.650], [0.752, 0.752, 0.752], [0.848, 0.848, 0.848], [0.949, 0.949, 0.949]]
}